Ba4MnO5 PBE with a Hubbard U relaxed; total magnetic moment = 5.00 Bohr magnetons per cell; total DFT energy (no corrections) = -6.21 eV per atom
1.0
-1.490 -5.621 -0.085
4.891 -4.290 -0.991
0.150 -3.136 5.783
Ba O Mn
4 5 1
Cartesian
2.012 -6.724 0.441 Ba
1.456 -6.635 4.261 Ba
0.633 -3.376 2.114 Ba
2.835 -9.983 2.589 Ba
-0.102 -5.926 1.838 O
-0.607 -2.289 -0.035 O
0.546 -9.143 4.280 O
3.051 -3.732 0.430 O
3.698 -6.949 2.872 O
-0.079 -0.299 -0.005 Mn